Entry 1:
## InHS2 (PBE)

Data for crystalline InHS2 at its relaxed geometry.

Cell: 6.439 6.439 6.439 Å, 35.44 35.44 35.44°
Atoms (fractional coordinates):
S 0.909 0.909 0.909
S 0.091 0.091 0.091
In 0.500 0.500 0.500
H 0.000 0.000 0.000

The total magnetization comes out at 0.00 Bohr magnetons per cell. The density of states at the Fermi level comes out at 0.00 states/eV/f.u. As for the energy relative to the lowest polymorph listed for this composition: 36 meV/atom.

Entry 2:
## In2HS2 (PBE)

Data for crystalline In2HS2 at its relaxed geometry.

Cell: 7.327 7.327 7.915 Å, 117.57 117.57 90.00°
Atoms (fractional coordinates):
S 0.625 0.373 0.746
S 0.121 0.373 0.746
S 0.623 0.871 0.246
S 0.623 0.375 0.246
H 0.368 0.868 0.735
H 0.118 0.118 0.235
In 0.896 0.158 0.317
In 0.421 0.158 0.317
In 0.408 0.646 0.817
In 0.408 0.171 0.817

The total magnetization comes out at 0.00 Bohr magnetons per cell. The density of states at the Fermi level comes out at 1.84 states/eV/f.u. As for the energy relative to the lowest polymorph listed for this composition: 124 meV/atom.

Entry 3:
## InHS (PBE)

Data for crystalline InHS at its relaxed geometry.

Cell: 3.911 3.910 5.343 Å, 89.97 89.98 60.00°
Atoms (fractional coordinates):
In 0.745 0.208 0.759
H 0.745 0.208 0.082
S 0.412 0.875 0.543

Its calculated total energy is -3.62 eV per atom. The total magnetization comes out at 0.00 Bohr magnetons per cell. The density of states at the Fermi level comes out at 0.00 states/eV/f.u.

Entry 4:
## In2H2S3 (PBE)

Data for crystalline In2H2S3 at its relaxed geometry.

Cell: 3.876 12.043 7.382 Å, 32.11 71.65 69.88°
Atoms (fractional coordinates):
H 0.681 0.237 0.386
H 0.319 0.763 0.614
S 0.640 0.627 0.756
S 0.000 0.000 0.000
S 0.360 0.373 0.244
In 0.669 0.737 0.193
In 0.331 0.263 0.807

Its calculated total energy is -3.59 eV per atom. The total magnetization comes out at 0.00 Bohr magnetons per cell. The density of states at the Fermi level comes out at 0.08 states/eV/f.u.

Entry 5:
## InHS2 (PBE)

Data for crystalline InHS2 at its relaxed geometry.

Cell: 4.529 4.529 4.529 Å, 60.00 60.00 60.00°
Site moments in Bohr magnetons follow the coordinates.
Atoms (fractional coordinates):
S 0.750 0.750 0.750  0.06
S 0.250 0.250 0.250  0.06
H 0.000 0.000 0.000  0.30
In 0.500 0.500 0.500  0.06

The total magnetization comes out at 0.97 Bohr magnetons per cell. The density of states at the Fermi level comes out at 3.33 states/eV/f.u. As for the energy relative to the lowest polymorph listed for this composition: 992 meV/atom.

Entry 6:
## Sc2InHS (PBE)

Data for crystalline Sc2InHS at its relaxed geometry.

Cell: 4.815 5.502 4.815 Å, 90.00 90.00 90.00°
Atoms (fractional coordinates):
S 0.000 0.000 0.000
Sc 0.000 0.000 0.500
Sc 0.500 0.000 0.000
In 0.000 0.500 0.000
H 0.500 0.500 0.500

Its calculated total energy is -4.34 eV per atom. The total magnetization comes out at 0.00 Bohr magnetons per cell. The density of states at the Fermi level comes out at 6.25 states/eV/f.u.

Entry 7:
## InHSeS (PBE)

Data for crystalline InHSeS at its relaxed geometry.

Cell: 3.976 3.976 7.470 Å, 92.99 102.75 119.16°
Atoms (fractional coordinates):
In 0.211 0.530 0.741
H 0.227 0.878 0.105
Se 0.440 0.657 0.097
S 0.451 0.136 0.587

Its calculated total energy is -3.74 eV per atom. The total magnetization comes out at 0.00 Bohr magnetons per cell. The density of states at the Fermi level comes out at 0.26 states/eV/f.u.

Entry 8:
## InSi2HS (PBE)

Data for crystalline InSi2HS at its relaxed geometry.

Cell: 5.101 3.172 5.101 Å, 90.00 90.00 90.00°
Atoms (fractional coordinates):
Si 0.000 0.000 0.500
Si 0.500 0.000 0.000
In 0.500 0.500 0.500
S 0.000 0.000 0.000
H 0.000 0.500 0.000

Its calculated total energy is -3.82 eV per atom. The total magnetization comes out at 0.00 Bohr magnetons per cell. The density of states at the Fermi level comes out at 1.97 states/eV/f.u.

Entry 9:
## Tb3InHS (PBE)

Data for crystalline Tb3InHS at its relaxed geometry.

Cell: 3.993 8.248 8.666 Å, 101.06 90.00 90.00°
Atoms (fractional coordinates):
S 0.250 0.655 0.148
S 0.750 0.345 0.852
Tb 0.750 0.182 0.540
Tb 0.750 0.881 0.126
Tb 0.750 0.433 0.175
Tb 0.250 0.818 0.460
Tb 0.250 0.567 0.825
Tb 0.250 0.119 0.874
In 0.250 0.170 0.252
In 0.750 0.830 0.748
H 0.250 0.083 0.601
H 0.750 0.917 0.399

Its calculated total energy is -4.97 eV per atom. The total magnetization comes out at 0.00 Bohr magnetons per cell. The density of states at the Fermi level comes out at 3.01 states/eV/f.u.

Entry 10:
## Tm3InHS (PBE)

Data for crystalline Tm3InHS at its relaxed geometry.

Cell: 3.888 8.153 8.470 Å, 101.80 90.00 90.00°
Atoms (fractional coordinates):
S 0.250 0.656 0.147
S 0.750 0.344 0.853
In 0.750 0.827 0.747
In 0.250 0.173 0.253
H 0.750 0.917 0.396
H 0.250 0.083 0.604
Tm 0.250 0.565 0.822
Tm 0.750 0.178 0.541
Tm 0.250 0.119 0.876
Tm 0.250 0.822 0.459
Tm 0.750 0.881 0.124
Tm 0.750 0.435 0.178

Its calculated total energy is -4.85 eV per atom. The total magnetization comes out at 0.00 Bohr magnetons per cell. The density of states at the Fermi level comes out at 2.94 states/eV/f.u.

Entry 11:
## In2SbH2 (PBE)

Data for crystalline In2SbH2 at its relaxed geometry.

Cell: 4.717 4.717 7.511 Å, 118.69 72.01 136.65°
Atoms (fractional coordinates):
In 0.761 0.520 0.281
In 0.239 0.480 0.719
H 0.651 0.882 0.533
H 0.349 0.118 0.467
Sb 0.000 0.000 0.000

The total magnetization comes out at 0.00 Bohr magnetons per cell. The density of states at the Fermi level comes out at 1.23 states/eV/f.u. As for the energy relative to the lowest polymorph listed for this composition: 0 meV/atom.

Entry 12:
## InSbH (PBE)

Data for crystalline InSbH at its relaxed geometry.

Cell: 6.827 6.961 6.866 Å, 90.00 117.28 90.00°
Atoms (fractional coordinates):
In 0.707 0.960 0.494
In 0.293 0.960 0.506
In 0.707 0.460 0.994
In 0.293 0.460 0.006
H 0.262 0.869 0.016
H 0.738 0.369 0.484
H 0.738 0.869 0.984
H 0.262 0.369 0.516
Sb 0.153 0.062 0.835
Sb 0.153 0.562 0.335
Sb 0.847 0.062 0.165
Sb 0.847 0.562 0.665

The total magnetization comes out at 0.00 Bohr magnetons per cell. As for the energy relative to the lowest polymorph listed for this composition: 71 meV/atom.

Entry 13:
## InSbH (PBE)

Data for crystalline InSbH at its relaxed geometry.

Cell: 6.319 7.087 6.452 Å, 51.28 42.20 69.12°
Atoms (fractional coordinates):
H 0.832 0.090 0.345
H 0.551 0.215 0.098
In 0.434 0.893 0.312
In 0.284 0.278 0.549
Sb 0.848 0.774 0.578
Sb 0.964 0.653 0.151

The total magnetization comes out at 0.00 Bohr magnetons per cell. The density of states at the Fermi level comes out at 0.01 states/eV/f.u. As for the energy relative to the lowest polymorph listed for this composition: 129 meV/atom.

Entry 14:
## InSb3H (PBE)

Data for crystalline InSb3H at its relaxed geometry.

Cell: 4.849 4.849 4.849 Å, 90.00 90.00 90.00°
Atoms (fractional coordinates):
In 0.500 0.500 0.500
H 0.000 0.000 0.000
Sb 0.000 0.500 0.000
Sb 0.000 0.000 0.500
Sb 0.500 0.000 0.000

The total magnetization comes out at 0.00 Bohr magnetons per cell. The density of states at the Fermi level comes out at 3.13 states/eV/f.u. As for the energy relative to the lowest polymorph listed for this composition: 0 meV/atom.

Entry 15:
## InSbH3 (PBE)

Data for crystalline InSbH3 at its relaxed geometry.

Cell: 4.192 4.192 4.192 Å, 90.00 90.00 90.00°
Atoms (fractional coordinates):
Sb 0.000 0.000 0.000
H 0.000 0.000 0.500
H 0.000 0.500 0.000
H 0.500 0.000 0.000
In 0.500 0.500 0.500

The total magnetization comes out at 0.00 Bohr magnetons per cell. The density of states at the Fermi level comes out at 1.35 states/eV/f.u. As for the energy relative to the lowest polymorph listed for this composition: 0 meV/atom.

Entry 16:
## InSbH (PBE)

Data for crystalline InSbH at its relaxed geometry.

Cell: 4.686 7.545 11.400 Å, 90.00 114.14 90.00°
Atoms (fractional coordinates):
Sb 0.758 0.740 0.759
Sb 0.758 0.240 0.259
Sb 0.242 0.740 0.241
Sb 0.242 0.240 0.741
H 0.104 0.613 0.102
H 0.104 0.113 0.602
H 0.896 0.113 0.398
H 0.896 0.613 0.898
In 0.865 0.096 0.865
In 0.135 0.596 0.635
In 0.865 0.596 0.365
In 0.135 0.096 0.135

The total magnetization comes out at 0.00 Bohr magnetons per cell. As for the energy relative to the lowest polymorph listed for this composition: 0 meV/atom.

Entry 17:
## InSbH (PBE)

Data for crystalline InSbH at its relaxed geometry.

Cell: 3.243 6.973 6.319 Å, 94.53 90.00 103.45°
Atoms (fractional coordinates):
H 0.407 0.815 0.877
H 0.593 0.185 0.123
Sb 0.845 0.689 0.314
Sb 0.155 0.311 0.686
In 0.056 0.112 0.265
In 0.944 0.888 0.735

The total magnetization comes out at 0.00 Bohr magnetons per cell. The density of states at the Fermi level comes out at 0.86 states/eV/f.u. As for the energy relative to the lowest polymorph listed for this composition: 168 meV/atom.

Entry 18:
## In2SbH2 (PBE)

Data for crystalline In2SbH2 at its relaxed geometry.

Cell: 3.699 3.699 7.064 Å, 74.82 74.82 90.00°
Atoms (fractional coordinates):
H 0.250 0.750 0.500
H 0.750 0.250 0.500
In 0.652 0.652 0.696
In 0.348 0.348 0.304
Sb 0.000 0.000 0.000

The total magnetization comes out at 0.00 Bohr magnetons per cell. The density of states at the Fermi level comes out at 1.59 states/eV/f.u. As for the energy relative to the lowest polymorph listed for this composition: 39 meV/atom.

Entry 19:
## InSbH (PBE)

Data for crystalline InSbH at its relaxed geometry.

Cell: 4.721 11.450 7.061 Å, 90.00 90.00 90.00°
Atoms (fractional coordinates):
Sb 0.000 0.797 0.196
Sb 0.500 0.297 0.696
Sb 0.000 0.203 0.196
Sb 0.500 0.703 0.696
H 0.000 0.091 0.362
H 0.500 0.409 0.862
H 0.000 0.909 0.362
H 0.500 0.591 0.862
In 0.500 0.876 0.993
In 0.000 0.376 0.493
In 0.000 0.624 0.493
In 0.500 0.124 0.993

The total magnetization comes out at 0.00 Bohr magnetons per cell. The density of states at the Fermi level comes out at 0.04 states/eV/f.u. As for the energy relative to the lowest polymorph listed for this composition: 15 meV/atom.

Entry 20:
## In12Sb3H5 (PBE)

Data for crystalline In12Sb3H5 at its relaxed geometry.

Cell: 13.468 13.468 13.468 Å, 109.47 109.47 109.47°
Atoms (fractional coordinates):
In 0.006 0.408 0.813
In 0.095 0.187 0.193
In 0.092 0.187 0.494
In 0.187 0.095 0.693
In 0.506 0.193 0.098
In 0.494 0.807 0.902
In 0.405 0.098 0.592
In 0.693 0.595 0.187
In 0.813 0.908 0.006
In 0.095 0.908 0.402
In 0.098 0.693 0.506
In 0.187 0.092 0.994
In 0.098 0.405 0.092
In 0.902 0.595 0.908
In 0.595 0.693 0.687
In 0.595 0.902 0.408
In 0.506 0.313 0.908
In 0.193 0.687 0.095
In 0.807 0.494 0.402
In 0.193 0.506 0.598
In 0.807 0.313 0.905
In 0.092 0.905 0.098
In 0.813 0.905 0.307
In 0.905 0.813 0.807
In 0.994 0.402 0.307
In 0.902 0.307 0.494
In 0.313 0.506 0.408
In 0.408 0.402 0.595
In 0.405 0.307 0.313
In 0.693 0.098 0.006
In 0.905 0.092 0.598
In 0.908 0.095 0.902
In 0.402 0.994 0.807
In 0.307 0.405 0.813
In 0.592 0.598 0.405
In 0.313 0.807 0.405
In 0.402 0.408 0.095
In 0.908 0.813 0.506
In 0.687 0.494 0.592
In 0.994 0.592 0.187
In 0.307 0.902 0.994
In 0.598 0.592 0.905
In 0.408 0.006 0.313
In 0.592 0.994 0.687
In 0.687 0.193 0.595
In 0.494 0.687 0.092
In 0.006 0.598 0.693
In 0.598 0.006 0.193
Sb 0.750 0.875 0.625
Sb 0.250 0.125 0.375
Sb 0.625 0.375 0.750
Sb 0.750 0.375 0.125
Sb 0.125 0.250 0.875
Sb 0.875 0.125 0.250
Sb 0.625 0.250 0.375
Sb 0.250 0.625 0.875
Sb 0.375 0.625 0.250
Sb 0.125 0.875 0.750
Sb 0.875 0.750 0.125
Sb 0.375 0.750 0.625
H 0.125 0.375 0.250
H 0.250 0.875 0.125
H 0.500 0.000 0.500
H 0.875 0.250 0.625
H 0.375 0.125 0.750
H 0.125 0.750 0.375
H 0.625 0.750 0.875
H 0.375 0.250 0.125
H 0.625 0.875 0.250
H 0.000 0.500 0.000
H 0.500 0.000 0.000
H 0.250 0.375 0.625
H 0.750 0.625 0.375
H 0.500 0.500 0.000
H 0.000 0.000 0.000
H 0.875 0.625 0.750
H 0.000 0.500 0.500
H 0.000 0.000 0.500
H 0.750 0.125 0.875
H 0.500 0.500 0.500

Its calculated total energy is -2.86 eV per atom. The total magnetization comes out at 0.00 Bohr magnetons per cell. The density of states at the Fermi level comes out at 7.26 states/eV/f.u.